No. 1
Here is crystalline Na2Zn2Ag5Hg at its relaxed geometry from Alexandria. Energies are from PBE.

abc: 4.0582 9.9067 9.9067
angles: 90.00 90.00 90.00
Last column: nearest neighbours and their distance in Å.
Fractional positions:
1 Na 0.0000 0.1770 0.3230  3 Zn 2.85-2.99
2 Zn 0.0000 0.1195 0.6195  6 Ag 2.63-2.71, 1 Na 2.85
3 Ag 0.5000 0.7941 0.9315  2 Zn 2.71, 2 Hg 2.96, 1 Ag 2.99
4 Na 0.0000 0.8230 0.6770  3 Zn 2.85-2.99
5 Ag 0.5000 0.2941 0.5685  2 Zn 2.71, 2 Hg 2.96, 1 Ag 2.99
6 Ag 0.5000 0.9315 0.2059  2 Zn 2.71, 2 Hg 2.96, 1 Ag 2.99
7 Na 0.0000 0.3230 0.8230  3 Zn 2.85-2.99
8 Zn 0.0000 0.8805 0.3805  6 Ag 2.63-2.71, 1 Na 2.85
9 Ag 0.5000 0.0685 0.7941  2 Zn 2.71, 2 Hg 2.96, 1 Ag 2.99
10 Na 0.0000 0.6770 0.1770  3 Zn 2.85-2.99
11 Ag 0.5000 0.0000 0.5000  4 Zn 2.63
12 Hg 0.0000 0.5000 0.5000  8 Ag 2.96
13 Ag 0.5000 0.5685 0.7059  2 Zn 2.71, 2 Hg 2.96, 1 Ag 2.99
14 Ag 0.5000 0.4315 0.2941  2 Zn 2.71, 2 Hg 2.96, 1 Ag 2.99
15 Ag 0.5000 0.7059 0.4315  2 Zn 2.71, 2 Hg 2.96, 1 Ag 2.99
16 Ag 0.5000 0.2059 0.0685  2 Zn 2.71, 2 Hg 2.96, 1 Ag 2.99
17 Ag 0.5000 0.5000 0.0000  4 Zn 2.63
18 Zn 0.0000 0.6195 0.8805  6 Ag 2.63-2.71, 1 Na 2.85
19 Zn 0.0000 0.3805 0.1195  6 Ag 2.63-2.71, 1 Na 2.85
20 Hg 0.0000 0.0000 0.0000  8 Ag 2.96

Output
Energy relative to the elements (meV/atom): -20
Space-group type: P4/mbm, No. 127
Total moment (μB per cell): 0.00


No. 2
Here is crystalline NbAg3Hg at its relaxed geometry from Alexandria. Energies are from PBE.

abc: 5.2465 5.2465 5.2465
angles: 90.00 90.00 90.00
Last column: nearest neighbours and their distance in Å.
Fractional positions:
1 Hg 0.5000 0.5000 0.5000  12 Ag 3.71
2 Nb 0.0000 0.0000 0.0000  6 Ag 2.62
3 Ag 0.0000 0.5000 0.0000  2 Nb 2.62
4 Ag 0.0000 0.0000 0.5000  2 Nb 2.62
5 Ag 0.5000 0.0000 0.0000  2 Nb 2.62

Output
Offset from the most stable computed form (kJ/mol of formula units): 38
Energy relative to the elements (meV/atom): 1342
Space-group type: Pm-3m, No. 221
Total moment (μB per cell): 0.00


No. 3
Here is crystalline Nb3AgHg at its relaxed geometry from Alexandria. Energies are from PBE.

abc: 5.0667 5.0667 5.0667
angles: 90.00 90.00 90.00
Last column: nearest neighbours and their distance in Å.
Fractional positions:
1 Ag 0.5000 0.5000 0.5000  12 Nb 3.58
2 Nb 0.0000 0.0000 0.5000  2 Hg 2.53
3 Hg 0.0000 0.0000 0.0000  6 Nb 2.53
4 Nb 0.5000 0.0000 0.0000  2 Hg 2.53
5 Nb 0.0000 0.5000 0.0000  2 Hg 2.53

Output
Offset from the most stable computed form (kJ/mol of formula units): 139
Energy relative to the elements (meV/atom): 1991
Space-group type: Pm-3m, No. 221
Total moment (μB per cell): 2.09


No. 4
Here is crystalline NbAg2Hg at its relaxed geometry from Alexandria. Energies are from PBE.

abc: 2.9110 2.9110 11.0318
angles: 82.42 82.42 60.00
Last column: nearest neighbours and their distance in Å.
Fractional positions:
1 Hg 0.5000 0.5000 0.5000  6 Hg 2.91, 6 Ag 3.16
2 Ag 0.9153 0.9153 0.2542  1 Nb 2.77, 6 Ag 2.91
3 Ag 0.0847 0.0847 0.7458  1 Nb 2.77, 6 Ag 2.91
4 Nb 0.0000 0.0000 0.0000  2 Ag 2.77, 6 Nb 2.91

Output
Energy relative to the elements (meV/atom): 423
Space-group type: R-3m, No. 166
Total moment (μB per cell): 0.00


no.,D(E_F) (states/eV per atom)
1,0.24
2,0.82
3,0.58
4,0.78